NiBiF2 | PBE with a Hubbard U | relaxed

Calculated values
Distance to the lowest polymorph of the same formula (kJ per mole of atoms): 78.2
Magnetization (μB per formula unit): 0.99
Uncorrected energy (eV/atom): -3.155
D(E_F) (states/eV per cell): 10.159
Volume (A^3/atom): 15.3

Cell lengths 6.2567, 6.2567, 6.2567 Å; angles 90.00, 90.00, 90.00 degrees
With the nearest neighbours (Å) after each atom.
Space group Fm-3m (No. 225)
Inequivalent atoms, fractional coordinates:
Ni  0.0000  0.0000  0.0000 (multiplicity 4)  8 F 2.71
Bi  0.0000  0.0000  0.5000 (multiplicity 4)  8 F 2.71
F  0.2500  0.2500  0.2500 (multiplicity 8)  4 Bi 2.71, 4 Ni 2.71